DFT (GGA-PBE) results for an optimized crystal structure of LiMgSi.

space group	No. 44

a = 4.5987 Å, b = 4.5987 Å, c = 4.5987 Å
α = 138.48°, β = 119.30°, γ = 76.22°
Fractional positions:
Li 0.0000 0.0000 0.0000
Mg 0.3977 0.3977 0.0000
Si 0.7024 0.2024 0.5000

DFT (GGA-PBE) results for an optimized crystal structure of LiMgSi.

space group	No. 164

a = 4.2227 Å, b = 4.2227 Å, c = 7.4183 Å
α = 90.00°, β = 90.00°, γ = 120.00°
Fractional positions:
Li 0.3333 0.6667 0.4476
Li 0.6667 0.3333 0.5524
Mg 0.3333 0.6667 0.8459
Mg 0.6667 0.3333 0.1541
Si 0.0000 0.0000 0.3399
Si 0.0000 0.0000 0.6601

DFT (GGA-PBE) results for an optimized crystal structure of Li4MgSi.

space group	No. 191

a = 4.4637 Å, b = 4.4637 Å, c = 5.5652 Å
α = 90.00°, β = 90.00°, γ = 120.00°
Fractional positions:
Li 0.3333 0.6667 0.2166
Li 0.3333 0.6667 0.7834
Li 0.6667 0.3333 0.2166
Li 0.6667 0.3333 0.7834
Mg 0.0000 0.0000 0.5000
Si 0.0000 0.0000 0.0000

DFT (GGA-PBE) results for an optimized crystal structure of LiMgSi.

space group	No. 36

a = 4.6477 Å, b = 4.6477 Å, c = 7.4486 Å
α = 90.00°, β = 90.00°, γ = 140.46°
Fractional positions:
Li 0.1473 0.8527 0.5000
Li 0.8527 0.1473 0.0000
Mg 0.4156 0.5844 0.3183
Mg 0.5844 0.4156 0.8183
Si 0.1346 0.8654 0.1372
Si 0.8654 0.1346 0.6372

DFT (GGA-PBE) results for an optimized crystal structure of Li5MgSi.

space group	No. 44

a = 6.4848 Å, b = 6.4848 Å, c = 6.4848 Å
α = 130.45°, β = 74.23°, γ = 128.53°
Fractional positions:
Li 0.0000 0.0000 0.0000
Li 0.0185 0.2749 0.7435
Li 0.2588 0.5702 0.3114
Li 0.2588 0.9475 0.6886
Li 0.5314 0.2749 0.2565
Mg 0.5784 0.5784 0.0000
Si 0.7840 0.2840 0.5000

DFT (GGA-PBE) results for an optimized crystal structure of LiMgSi.

space group	No. 12

a = 4.9642 Å, b = 4.9642 Å, c = 5.4404 Å
α = 90.26°, β = 90.26°, γ = 51.68°
Fractional positions:
Li 0.0000 0.0000 0.0000
Li 0.0000 0.0000 0.5000
Mg 0.2877 0.2877 0.7501
Mg 0.7123 0.7123 0.2499
Si 0.4057 0.4057 0.2515
Si 0.5943 0.5943 0.7485

DFT (GGA-PBE) results for an optimized crystal structure of Li12Mg3Si4.

space group	No. 220

a = 9.2538 Å, b = 9.2538 Å, c = 9.2538 Å
α = 109.47°, β = 109.47°, γ = 109.47°
Fractional positions:
Li 0.0311 0.9180 0.6876
Li 0.0820 0.2696 0.1131
Li 0.1131 0.0820 0.2696
Li 0.1564 0.8869 0.4689
Li 0.1876 0.4180 0.5311
Li 0.2304 0.3124 0.8436
Li 0.2696 0.1131 0.0820
Li 0.3124 0.8436 0.2304
Li 0.3436 0.8124 0.7304
Li 0.3869 0.6564 0.9689
Li 0.4180 0.5311 0.1876
Li 0.4689 0.1564 0.8869
Li 0.5311 0.1876 0.4180
Li 0.5820 0.6131 0.7696
Li 0.6131 0.7696 0.5820
Li 0.6564 0.9689 0.3869
Li 0.6876 0.0311 0.9180
Li 0.7304 0.3436 0.8124
Li 0.7696 0.5820 0.6131
Li 0.8124 0.7304 0.3436
Li 0.8436 0.2304 0.3124
Li 0.8869 0.4689 0.1564
Li 0.9180 0.6876 0.0311
Li 0.9689 0.3869 0.6564
Mg 0.1250 0.7500 0.8750
Mg 0.2500 0.6250 0.3750
Mg 0.3750 0.2500 0.6250
Mg 0.6250 0.3750 0.2500
Mg 0.7500 0.8750 0.1250
Mg 0.8750 0.1250 0.7500
Si 0.0000 0.0943 0.5000
Si 0.0000 0.5943 0.5000
Si 0.0943 0.5000 0.0000
Si 0.4057 0.4057 0.4057
Si 0.5000 0.0000 0.0943
Si 0.5000 0.0000 0.5943
Si 0.5943 0.5000 0.0000
Si 0.9057 0.9057 0.9057

DFT (GGA-PBE) results for an optimized crystal structure of LiMg2Si.

space group	No. 216

a = 4.6743 Å, b = 4.6743 Å, c = 4.6743 Å
α = 60.00°, β = 60.00°, γ = 60.00°
Fractional positions:
Li 0.0000 0.0000 0.0000
Mg 0.5000 0.5000 0.5000
Mg 0.7500 0.7500 0.7500
Si 0.2500 0.2500 0.2500

DFT (GGA-PBE) results for an optimized crystal structure of LiMgSi.

space group	No. 2

a = 4.5512 Å, b = 4.6562 Å, c = 6.2565 Å
α = 108.25°, β = 91.40°, γ = 118.86°
Fractional positions:
Li 0.1296 0.1498 0.3484
Li 0.8704 0.8502 0.6516
Mg 0.2670 0.6276 0.8405
Mg 0.7330 0.3724 0.1595
Si 0.4365 0.7785 0.3069
Si 0.5635 0.2215 0.6931

DFT (GGA-PBE) results for an optimized crystal structure of Li2Mg2Si.

space group	No. 127

a = 6.3927 Å, b = 6.3927 Å, c = 4.3343 Å
α = 90.00°, β = 90.00°, γ = 90.00°
Fractional positions:
Li 0.1384 0.3616 0.0000
Li 0.3616 0.8616 0.0000
Li 0.6384 0.1384 0.0000
Li 0.8616 0.6384 0.0000
Mg 0.1789 0.6789 0.5000
Mg 0.3211 0.1789 0.5000
Mg 0.6789 0.8211 0.5000
Mg 0.8211 0.3211 0.5000
Si 0.0000 0.0000 0.0000
Si 0.5000 0.5000 0.0000

DFT (GGA-PBE) results for an optimized crystal structure of LiMg2Si.

space group	No. 166

a = 9.9404 Å, b = 9.9404 Å, c = 9.9404 Å
α = 17.34°, β = 17.34°, γ = 17.34°
Fractional positions:
Li 0.0000 0.0000 0.0000
Mg 0.2491 0.2491 0.2491
Mg 0.7509 0.7509 0.7509
Si 0.5000 0.5000 0.5000

DFT (GGA-PBE) results for an optimized crystal structure of LiMg2Si.

space group	No. 8

a = 5.4660 Å, b = 5.4660 Å, c = 4.7836 Å
α = 110.46°, β = 110.46°, γ = 33.77°
Fractional positions:
Li 0.0000 0.0000 0.0000
Mg 0.2317 0.2317 0.7937
Mg 0.4572 0.4572 0.4599
Si 0.7134 0.7134 0.2851

Summary of raw total energy in eV for the cell shown
-9.22; -18.05; -15.79; -18.47; -14.62; -18.59; -107.53; -10.56; -18.82; -24.97; -10.10; -10.57
(order as listed above)
Summary of uncorrected formation energy in eV per atom
-0.0970; -0.0306; -0.1866; -0.1014; 0.2815; -0.1204; -0.2276; -0.0086; -0.1587; -0.0086; 0.1069; -0.0102
(order as listed above)